No. 1
## Pr4Nd3Al (GGA-PBE)

Data for Pr4Nd3Al after structural relaxation.

Unit cell a=3.544 b=5.687 c=14.037 alpha=101.41 beta=97.25 gamma=90.00
Fractional coordinates of all 8 atoms:
Pr1 0.716 0.217 0.431
Pr2 0.906 0.900 0.812
Pr3 0.284 0.783 0.569
Pr4 0.094 0.100 0.188
Nd1 0.155 0.659 0.309
Nd2 0.845 0.341 0.691
Nd3 0.000 0.500 0.000
Al1 0.500 0.000 0.000

Summary:
Calculated formation energy   89 meV per atom
Calculated density   6.2 g/cm3
Space-group type   No. 12

***

No. 2
## AcFe2Ge2C (GGA-PBE)

Data for AcFe2Ge2C after structural relaxation.

Unit cell a=3.804 b=3.804 c=6.784 alpha=90.00 beta=90.00 gamma=90.00
Fractional coordinates of all 6 atoms:
Ac1 0.000 0.000 0.500
Ge1 0.500 0.500 0.767
Ge2 0.500 0.500 0.233
Fe1 0.000 0.500 0.000
Fe2 0.500 0.000 0.000
C1 0.000 0.000 0.000

Summary:
Calculated formation energy   -177 meV per atom
Calculated density   8.4 g/cm3
Space-group type   No. 123

***

No. 3
## NpTi2Au (GGA-PBE)

Data for NpTi2Au after structural relaxation.

Unit cell a=3.023 b=4.839 c=4.839 alpha=90.00 beta=90.00 gamma=90.00
Fractional coordinates of all 4 atoms:
Np1 0.500 0.000 0.000
Ti1 0.000 0.000 0.500
Ti2 0.000 0.500 0.000
Au1 0.500 0.500 0.500

Summary:
Energy above the lowest structure with this stoichiometry   0 meV/atom
Calculated formation energy   -49 meV per atom
Calculated density   12.4 g/cm3
Space-group type   No. 123

***

No. 4
## TlVNiIr2 (GGA-PBE)

Data for TlVNiIr2 after structural relaxation.

Unit cell a=4.930 b=4.838 c=4.930 alpha=90.00 beta=90.00 gamma=90.00
Fractional coordinates of all 5 atoms:
Ni1 0.500 0.500 0.500
Ir1 0.500 0.000 0.000
Ir2 0.000 0.000 0.500
V1 0.000 0.500 0.000
Tl1 0.000 0.000 0.000

Summary:
Calculated formation energy   2538 meV per atom
Calculated density   9.9 g/cm3
Space-group type   No. 123

***

No. 5
## CaLa2SbOs (GGA-PBE)

Data for CaLa2SbOs after structural relaxation.

Unit cell a=5.434 b=5.434 c=5.543 alpha=90.00 beta=90.00 gamma=90.00
Fractional coordinates of all 5 atoms:
Sb1 0.500 0.500 0.500
La1 0.500 0.000 0.000
La2 0.000 0.500 0.000
Ca1 0.000 0.000 0.500
Os1 0.000 0.000 0.000

Summary:
Calculated density   6.4 g/cm3
Space-group type   No. 123
Formation energy (no corrections)   -8.64 kcal/mol of atoms

***

No. 6
## Nb2AsPt2 (GGA-PBE)

Data for Nb2AsPt2 after structural relaxation.

Unit cell a=6.895 b=6.895 c=3.826 alpha=90.00 beta=90.00 gamma=90.00
Fractional coordinates of all 10 atoms:
Pt1 0.862 0.362 0.500
Pt2 0.138 0.638 0.500
Pt3 0.362 0.138 0.500
Pt4 0.638 0.862 0.500
Nb1 0.159 0.341 0.000
Nb2 0.841 0.659 0.000
Nb3 0.341 0.841 0.000
Nb4 0.659 0.159 0.000
As1 0.000 0.000 0.000
As2 0.500 0.500 0.000

Summary:
Energy above the lowest structure with this stoichiometry   0 meV/atom
Calculated formation energy   -333 meV per atom
Calculated density   11.9 g/cm3
Space-group type   No. 127